Record 1
# Ba3PtPb, relaxed, DFT PBE
data_Ba3PtPb
_symmetry_space_group_name_H-M 'P 1'
_symmetry_Int_Tables_number 1
_cell_length_a 6.021
_cell_length_b 8.493
_cell_length_c 8.284
_cell_angle_alpha 95.73
_cell_angle_beta 90.30
_cell_angle_gamma 89.97
loop_
_symmetry_equiv_pos_as_xyz
'x,y,z'
loop_
_atom_site_label
_atom_site_fract_x
_atom_site_fract_y
_atom_site_fract_z
Ba1 0.546 0.977 0.665
Ba2 0.547 0.366 0.027
Ba3 0.042 0.160 0.370
Ba4 0.043 0.647 0.865
Ba5 0.537 0.502 0.484
Ba6 0.539 0.884 0.152
Pt1 0.543 0.667 0.830
Pt2 0.049 0.447 0.176
Pb1 0.039 0.733 0.385
Pb2 0.047 0.160 0.923
# - formation enthalpy at 0 K (eV per formula unit) = -2.63

Record 2
# Ba2PtPb, relaxed, DFT PBE
data_Ba2PtPb
_symmetry_space_group_name_H-M 'P 1'
_symmetry_Int_Tables_number 1
_cell_length_a 4.231
_cell_length_b 4.231
_cell_length_c 9.690
_cell_angle_alpha 90.00
_cell_angle_beta 90.00
_cell_angle_gamma 90.00
loop_
_symmetry_equiv_pos_as_xyz
'x,y,z'
loop_
_atom_site_label
_atom_site_fract_x
_atom_site_fract_y
_atom_site_fract_z
Pb1 0.000 0.000 0.468
Ba1 0.000 0.000 0.839
Ba2 0.500 0.500 0.252
Pt1 0.500 0.500 0.941
# - formation enthalpy at 0 K (eV per formula unit) = -1.34

Record 3
# BaPtPb3, relaxed, DFT PBE
data_BaPtPb3
_symmetry_space_group_name_H-M 'P 1'
_symmetry_Int_Tables_number 1
_cell_length_a 5.551
_cell_length_b 5.551
_cell_length_c 5.551
_cell_angle_alpha 90.00
_cell_angle_beta 90.00
_cell_angle_gamma 90.00
loop_
_symmetry_equiv_pos_as_xyz
'x,y,z'
loop_
_atom_site_label
_atom_site_fract_x
_atom_site_fract_y
_atom_site_fract_z
Pb1 0.000 0.500 0.000
Pb2 0.000 0.000 0.500
Pb3 0.500 0.000 0.000
Ba1 0.500 0.500 0.500
Pt1 0.000 0.000 0.000
# - formation enthalpy at 0 K (eV per formula unit) = -0.72

Record 4
# Ba4Pt2Pb5, relaxed, DFT PBE
data_Ba4Pt2Pb5
_symmetry_space_group_name_H-M 'P 1'
_symmetry_Int_Tables_number 1
_cell_length_a 4.053
_cell_length_b 8.912
_cell_length_c 10.544
_cell_angle_alpha 94.52
_cell_angle_beta 90.00
_cell_angle_gamma 90.00
loop_
_symmetry_equiv_pos_as_xyz
'x,y,z'
loop_
_atom_site_label
_atom_site_fract_x
_atom_site_fract_y
_atom_site_fract_z
Ba1 0.500 0.771 0.537
Ba2 0.500 0.172 0.849
Ba3 0.500 0.229 0.463
Ba4 0.500 0.828 0.151
Pt1 0.000 0.026 0.637
Pt2 0.000 0.974 0.363
Pb1 0.000 0.520 0.308
Pb2 0.000 0.185 0.161
Pb3 0.000 0.500 0.000
Pb4 0.000 0.815 0.839
Pb5 0.000 0.480 0.692
# - formation enthalpy at 0 K (eV per formula unit) = -5.31

Record 5
# Ba2PtPb, relaxed, DFT PBE
data_Ba2PtPb
_symmetry_space_group_name_H-M 'P 1'
_symmetry_Int_Tables_number 1
_cell_length_a 4.446
_cell_length_b 4.446
_cell_length_c 9.543
_cell_angle_alpha 76.52
_cell_angle_beta 76.52
_cell_angle_gamma 60.07
loop_
_symmetry_equiv_pos_as_xyz
'x,y,z'
loop_
_atom_site_label
_atom_site_fract_x
_atom_site_fract_y
_atom_site_fract_z
Pb1 0.750 0.750 0.750
Ba1 0.984 0.984 0.046
Ba2 0.516 0.516 0.454
Pt1 0.250 0.250 0.250
# - formation enthalpy at 0 K (eV per formula unit) = -2.07

Record 6
# Ba2PtPb, relaxed, DFT PBE
data_Ba2PtPb
_symmetry_space_group_name_H-M 'P 1'
_symmetry_Int_Tables_number 1
_cell_length_a 3.919
_cell_length_b 3.811
_cell_length_c 9.898
_cell_angle_alpha 67.46
_cell_angle_beta 90.00
_cell_angle_gamma 90.00
loop_
_symmetry_equiv_pos_as_xyz
'x,y,z'
loop_
_atom_site_label
_atom_site_fract_x
_atom_site_fract_y
_atom_site_fract_z
Pb1 0.500 0.250 0.250
Ba1 0.000 0.041 0.959
Ba2 0.000 0.459 0.541
Pt1 0.500 0.750 0.750
# - formation enthalpy at 0 K (eV per formula unit) = -2.34

Record 7
# BaPt4Pb4, relaxed, DFT PBE
data_BaPt4Pb4
_symmetry_space_group_name_H-M 'P 1'
_symmetry_Int_Tables_number 1
_cell_length_a 7.052
_cell_length_b 7.052
_cell_length_c 9.297
_cell_angle_alpha 90.00
_cell_angle_beta 90.00
_cell_angle_gamma 90.00
loop_
_symmetry_equiv_pos_as_xyz
'x,y,z'
loop_
_atom_site_label
_atom_site_fract_x
_atom_site_fract_y
_atom_site_fract_z
Ba1 0.000 0.000 0.000
Ba2 0.500 0.500 0.500
Pt1 0.500 0.805 0.836
Pt2 0.500 0.195 0.836
Pt3 0.805 0.500 0.164
Pt4 0.195 0.500 0.164
Pt5 0.305 0.000 0.336
Pt6 0.695 0.000 0.336
Pt7 0.000 0.305 0.664
Pt8 0.000 0.695 0.664
Pb1 0.246 0.500 0.865
Pb2 0.754 0.500 0.865
Pb3 0.500 0.754 0.135
Pb4 0.500 0.246 0.135
Pb5 0.000 0.746 0.365
Pb6 0.000 0.254 0.365
Pb7 0.254 0.000 0.635
Pb8 0.746 0.000 0.635
# - formation enthalpy at 0 K (eV per formula unit) = -3.22

Record 8
# BaPtPb3, relaxed, DFT PBE
data_BaPtPb3
_symmetry_space_group_name_H-M 'P 1'
_symmetry_Int_Tables_number 1
_cell_length_a 4.780
_cell_length_b 9.967
_cell_length_c 12.675
_cell_angle_alpha 90.00
_cell_angle_beta 90.00
_cell_angle_gamma 90.00
loop_
_symmetry_equiv_pos_as_xyz
'x,y,z'
loop_
_atom_site_label
_atom_site_fract_x
_atom_site_fract_y
_atom_site_fract_z
Ba1 0.750 0.803 0.011
Ba2 0.250 0.697 0.511
Ba3 0.750 0.303 0.489
Ba4 0.250 0.197 0.989
Pt1 0.250 0.086 0.649
Pt2 0.250 0.586 0.851
Pt3 0.750 0.414 0.149
Pt4 0.750 0.914 0.351
Pb1 0.250 0.562 0.085
Pb2 0.750 0.438 0.915
Pb3 0.250 0.062 0.415
Pb4 0.750 0.938 0.585
Pb5 0.250 0.376 0.694
Pb6 0.750 0.124 0.194
Pb7 0.250 0.876 0.806
Pb8 0.750 0.647 0.721
Pb9 0.250 0.353 0.279
Pb10 0.750 0.147 0.779
Pb11 0.750 0.624 0.306
Pb12 0.250 0.853 0.221
# - formation enthalpy at 0 K (eV per formula unit) = -1.94

Record 9
# Ba2PtPb, relaxed, DFT PBE
data_Ba2PtPb
_symmetry_space_group_name_H-M 'P 1'
_symmetry_Int_Tables_number 1
_cell_length_a 5.830
_cell_length_b 5.830
_cell_length_c 4.046
_cell_angle_alpha 90.04
_cell_angle_beta 90.04
_cell_angle_gamma 95.06
loop_
_symmetry_equiv_pos_as_xyz
'x,y,z'
loop_
_atom_site_label
_atom_site_fract_x
_atom_site_fract_y
_atom_site_fract_z
Pb1 0.500 0.000 0.500
Ba1 0.000 0.000 0.000
Ba2 0.500 0.500 0.000
Pt1 0.000 0.500 0.500
# - formation enthalpy at 0 K (eV per formula unit) = -1.79

Record 10
# Ba2PtPb, relaxed, DFT PBE
data_Ba2PtPb
_symmetry_space_group_name_H-M 'P 1'
_symmetry_Int_Tables_number 1
_cell_length_a 6.337
_cell_length_b 6.337
_cell_length_c 6.337
_cell_angle_alpha 134.03
_cell_angle_beta 134.03
_cell_angle_gamma 67.04
loop_
_symmetry_equiv_pos_as_xyz
'x,y,z'
loop_
_atom_site_label
_atom_site_fract_x
_atom_site_fract_y
_atom_site_fract_z
Pb1 0.500 0.500 0.000
Ba1 0.000 0.000 0.000
Ba2 0.250 0.750 0.500
Pt1 0.750 0.250 0.500
# - formation enthalpy at 0 K (eV per formula unit) = -1.25

Record 11
# Ba2Pt4Pb5, relaxed, DFT PBE
data_Ba2Pt4Pb5
_symmetry_space_group_name_H-M 'P 1'
_symmetry_Int_Tables_number 1
_cell_length_a 6.829
_cell_length_b 7.115
_cell_length_c 7.989
_cell_angle_alpha 77.36
_cell_angle_beta 64.70
_cell_angle_gamma 61.32
loop_
_symmetry_equiv_pos_as_xyz
'x,y,z'
loop_
_atom_site_label
_atom_site_fract_x
_atom_site_fract_y
_atom_site_fract_z
Ba1 0.280 0.756 0.685
Ba2 0.720 0.244 0.315
Pt1 0.288 0.084 0.339
Pt2 0.712 0.916 0.661
Pt3 0.768 0.567 0.898
Pt4 0.232 0.433 0.102
Pb1 0.228 0.212 0.853
Pb2 0.772 0.788 0.147
Pb3 0.000 0.500 0.500
Pb4 0.707 0.212 0.853
Pb5 0.293 0.788 0.147
# - formation enthalpy at 0 K (eV per formula unit) = -3.56

Record 12
# Ba2PtPb2, relaxed, DFT PBE
data_Ba2PtPb2
_symmetry_space_group_name_H-M 'P 1'
_symmetry_Int_Tables_number 1
_cell_length_a 7.724
_cell_length_b 7.724
_cell_length_c 5.560
_cell_angle_alpha 90.00
_cell_angle_beta 90.00
_cell_angle_gamma 90.00
loop_
_symmetry_equiv_pos_as_xyz
'x,y,z'
loop_
_atom_site_label
_atom_site_fract_x
_atom_site_fract_y
_atom_site_fract_z
Pb1 0.353 0.853 0.000
Pb2 0.853 0.647 0.000
Pb3 0.647 0.147 0.000
Pb4 0.147 0.353 0.000
Ba1 0.165 0.665 0.500
Ba2 0.665 0.835 0.500
Ba3 0.835 0.335 0.500
Ba4 0.335 0.165 0.500
Pt1 0.000 0.000 0.000
Pt2 0.500 0.500 0.000
# - formation enthalpy at 0 K (eV per formula unit) = -2.01

Record 13
# Ba2PtPb, relaxed, DFT PBE
data_Ba2PtPb
_symmetry_space_group_name_H-M 'P 1'
_symmetry_Int_Tables_number 1
_cell_length_a 9.165
_cell_length_b 9.165
_cell_length_c 7.379
_cell_angle_alpha 51.61
_cell_angle_beta 51.61
_cell_angle_gamma 90.00
loop_
_symmetry_equiv_pos_as_xyz
'x,y,z'
loop_
_atom_site_label
_atom_site_fract_x
_atom_site_fract_y
_atom_site_fract_z
Pb1 0.000 0.000 0.000
Pb2 0.750 0.250 0.500
Ba1 0.568 0.125 0.250
Ba2 0.182 0.625 0.250
Ba3 0.375 0.432 0.750
Ba4 0.875 0.818 0.750
Pt1 0.500 0.500 0.000
Pt2 0.250 0.750 0.500
# - formation enthalpy at 0 K (eV per formula unit) = -1.39

Record 14
# Ba5Pt2Pb, relaxed, DFT PBE
data_Ba5Pt2Pb
_symmetry_space_group_name_H-M 'P 1'
_symmetry_Int_Tables_number 1
_cell_length_a 8.715
_cell_length_b 8.715
_cell_length_c 10.199
_cell_angle_alpha 115.29
_cell_angle_beta 115.29
_cell_angle_gamma 90.00
loop_
_symmetry_equiv_pos_as_xyz
'x,y,z'
loop_
_atom_site_label
_atom_site_fract_x
_atom_site_fract_y
_atom_site_fract_z
Ba1 0.538 0.697 0.735
Ba2 0.803 0.962 0.265
Ba3 0.000 0.000 0.000
Ba4 0.500 0.500 0.000
Ba5 0.197 0.038 0.735
Ba6 0.697 0.197 0.735
Ba7 0.038 0.538 0.735
Ba8 0.303 0.803 0.265
Ba9 0.962 0.462 0.265
Ba10 0.462 0.303 0.265
Pt1 0.121 0.379 0.000
Pt2 0.621 0.121 0.000
Pt3 0.379 0.879 0.000
Pt4 0.879 0.621 0.000
Pb1 0.750 0.750 0.500
Pb2 0.250 0.250 0.500
# - formation enthalpy at 0 K (eV per formula unit) = -4.98

Record 15
# BaPt4Pb4, relaxed, DFT PBE
data_BaPt4Pb4
_symmetry_space_group_name_H-M 'P 1'
_symmetry_Int_Tables_number 1
_cell_length_a 5.624
_cell_length_b 9.353
_cell_length_c 9.353
_cell_angle_alpha 90.00
_cell_angle_beta 90.00
_cell_angle_gamma 90.00
loop_
_symmetry_equiv_pos_as_xyz
'x,y,z'
loop_
_atom_site_label
_atom_site_fract_x
_atom_site_fract_y
_atom_site_fract_z
Ba1 0.000 0.000 0.000
Ba2 0.500 0.500 0.500
Pt1 0.594 0.818 0.338
Pt2 0.594 0.182 0.662
Pt3 0.094 0.838 0.682
Pt4 0.906 0.318 0.838
Pt5 0.906 0.682 0.162
Pt6 0.406 0.338 0.182
Pt7 0.406 0.662 0.818
Pt8 0.094 0.162 0.318
Pb1 0.399 0.359 0.881
Pb2 0.899 0.619 0.859
Pb3 0.399 0.641 0.119
Pb4 0.101 0.141 0.619
Pb5 0.601 0.881 0.641
Pb6 0.101 0.859 0.381
Pb7 0.899 0.381 0.141
Pb8 0.601 0.119 0.359
# - formation enthalpy at 0 K (eV per formula unit) = -3.15

Record 16
# BaPt2Pb3, relaxed, DFT PBE
data_BaPt2Pb3
_symmetry_space_group_name_H-M 'P 1'
_symmetry_Int_Tables_number 1
_cell_length_a 4.707
_cell_length_b 9.630
_cell_length_c 11.720
_cell_angle_alpha 105.94
_cell_angle_beta 90.00
_cell_angle_gamma 104.15
loop_
_symmetry_equiv_pos_as_xyz
'x,y,z'
loop_
_atom_site_label
_atom_site_fract_x
_atom_site_fract_y
_atom_site_fract_z
Ba1 0.161 0.322 0.703
Ba2 0.839 0.678 0.297
Ba3 0.000 0.000 0.000
Pt1 0.195 0.391 0.127
Pt2 0.805 0.609 0.873
Pt3 0.464 0.929 0.204
Pt4 0.536 0.071 0.796
Pt5 0.358 0.715 0.548
Pt6 0.642 0.285 0.452
Pb1 0.035 0.069 0.336
Pb2 0.965 0.931 0.664
Pb3 0.214 0.429 0.387
Pb4 0.786 0.571 0.613
Pb5 0.621 0.242 0.198
Pb6 0.379 0.758 0.802
Pb7 0.500 0.000 0.500
Pb8 0.323 0.645 0.038
Pb9 0.677 0.355 0.962
# - formation enthalpy at 0 K (eV per formula unit) = -2.41

Record 17
# Ba2PtPb, relaxed, DFT PBE
data_Ba2PtPb
_symmetry_space_group_name_H-M 'P 1'
_symmetry_Int_Tables_number 1
_cell_length_a 7.124
_cell_length_b 7.124
_cell_length_c 5.498
_cell_angle_alpha 67.30
_cell_angle_beta 67.30
_cell_angle_gamma 32.56
loop_
_symmetry_equiv_pos_as_xyz
'x,y,z'
loop_
_atom_site_label
_atom_site_fract_x
_atom_site_fract_y
_atom_site_fract_z
Pb1 0.564 0.564 0.436
Ba1 0.953 0.953 0.047
Ba2 0.755 0.755 0.745
Pt1 0.227 0.227 0.273
# - formation enthalpy at 0 K (eV per formula unit) = -1.97

Record 18
# Ba2PtPb, relaxed, DFT PBE
data_Ba2PtPb
_symmetry_space_group_name_H-M 'P 1'
_symmetry_Int_Tables_number 1
_cell_length_a 5.544
_cell_length_b 5.544
_cell_length_c 5.544
_cell_angle_alpha 60.00
_cell_angle_beta 60.00
_cell_angle_gamma 60.00
loop_
_symmetry_equiv_pos_as_xyz
'x,y,z'
loop_
_atom_site_label
_atom_site_fract_x
_atom_site_fract_y
_atom_site_fract_z
Pb1 0.500 0.500 0.500
Ba1 0.000 0.000 0.000
Ba2 0.250 0.250 0.250
Pt1 0.750 0.750 0.750
# - formation enthalpy at 0 K (eV per formula unit) = -1.38

Record 19
# Ba3Pt2Pb4, relaxed, DFT PBE
data_Ba3Pt2Pb4
_symmetry_space_group_name_H-M 'P 1'
_symmetry_Int_Tables_number 1
_cell_length_a 4.993
_cell_length_b 6.684
_cell_length_c 10.076
_cell_angle_alpha 69.60
_cell_angle_beta 75.65
_cell_angle_gamma 68.07
loop_
_symmetry_equiv_pos_as_xyz
'x,y,z'
loop_
_atom_site_label
_atom_site_fract_x
_atom_site_fract_y
_atom_site_fract_z
Ba1 0.320 0.735 0.626
Ba2 0.000 0.000 0.000
Ba3 0.680 0.265 0.374
Pt1 0.400 0.926 0.274
Pt2 0.600 0.074 0.726
Pb1 0.258 0.383 0.101
Pb2 0.742 0.617 0.899
Pb3 0.020 0.305 0.654
Pb4 0.980 0.695 0.346
# - formation enthalpy at 0 K (eV per formula unit) = -5.06

Record 20
# Ba2PtPb2, relaxed, DFT PBE
data_Ba2PtPb2
_symmetry_space_group_name_H-M 'P 1'
_symmetry_Int_Tables_number 1
_cell_length_a 4.282
_cell_length_b 7.086
_cell_length_c 12.591
_cell_angle_alpha 84.31
_cell_angle_beta 80.20
_cell_angle_gamma 72.41
loop_
_symmetry_equiv_pos_as_xyz
'x,y,z'
loop_
_atom_site_label
_atom_site_fract_x
_atom_site_fract_y
_atom_site_fract_z
Ba1 0.278 0.803 0.642
Ba2 0.096 0.691 0.117
Ba3 0.722 0.197 0.358
Ba4 0.904 0.309 0.883
Pt1 0.431 0.849 0.290
Pt2 0.569 0.151 0.710
Pb1 0.973 0.653 0.401
Pb2 0.377 0.135 0.111
Pb3 0.027 0.347 0.599
Pb4 0.623 0.865 0.889
# - formation enthalpy at 0 K (eV per formula unit) = -2.86

Record 21
# Ba2PtPb6, relaxed, DFT PBE
data_Ba2PtPb6
_symmetry_space_group_name_H-M 'P 1'
_symmetry_Int_Tables_number 1
_cell_length_a 6.354
_cell_length_b 7.255
_cell_length_c 7.255
_cell_angle_alpha 59.99
_cell_angle_beta 90.02
_cell_angle_gamma 90.02
loop_
_symmetry_equiv_pos_as_xyz
'x,y,z'
loop_
_atom_site_label
_atom_site_fract_x
_atom_site_fract_y
_atom_site_fract_z
Ba1 0.818 0.667 0.667
Ba2 0.182 0.333 0.333
Pt1 0.000 0.000 0.000
Pb1 0.305 0.335 0.832
Pb2 0.305 0.832 0.832
Pb3 0.305 0.832 0.335
Pb4 0.695 0.665 0.168
Pb5 0.695 0.168 0.168
Pb6 0.695 0.168 0.665
# - formation enthalpy at 0 K (eV per formula unit) = -3.54

Record 22
# Ba3PtPb, relaxed, DFT PBE
data_Ba3PtPb
_symmetry_space_group_name_H-M 'P 1'
_symmetry_Int_Tables_number 1
_cell_length_a 7.795
_cell_length_b 11.313
_cell_length_c 10.606
_cell_angle_alpha 114.87
_cell_angle_beta 90.00
_cell_angle_gamma 90.00
loop_
_symmetry_equiv_pos_as_xyz
'x,y,z'
loop_
_atom_site_label
_atom_site_fract_x
_atom_site_fract_y
_atom_site_fract_z
Ba1 0.066 0.632 0.892
Ba2 0.934 0.368 0.108
Ba3 0.566 0.868 0.108
Ba4 0.434 0.132 0.892
Ba5 0.581 0.442 0.792
Ba6 0.419 0.558 0.208
Ba7 0.081 0.058 0.208
Ba8 0.919 0.942 0.792
Ba9 0.082 0.231 0.629
Ba10 0.918 0.769 0.371
Ba11 0.582 0.269 0.371
Ba12 0.418 0.731 0.629
Pt1 0.241 0.390 0.923
Pt2 0.759 0.610 0.077
Pt3 0.741 0.110 0.077
Pt4 0.259 0.890 0.923
Pb1 0.823 0.569 0.559
Pb2 0.177 0.431 0.441
Pb3 0.323 0.931 0.441
Pb4 0.677 0.069 0.559
# - formation enthalpy at 0 K (eV per formula unit) = -2.88